(1)
A plane-wave DFT calculation with PBE-GGA was carried out for crystalline ThNiAu at its relaxed geometry.

Unit cell a=4.4894 b=4.4894 c=3.6326 alpha=90.00 beta=90.00 gamma=120.00
Last column: nearest neighbours and their distance in Å.
Positions (direct):
Th 0.0000 0.0000 0.0000  6 Ni 3.17, 6 Au 3.17
Ni 0.3333 0.6667 0.5000  3 Au 2.59
Au 0.6667 0.3333 0.5000  3 Ni 2.59

Formation enthalpy at 0 K (meV per atom): -511
Uncorrected energy (eV per atom): -6.004

***

(2)
A plane-wave DFT calculation with PBE-GGA was carried out for crystalline ThNiAu at its relaxed geometry.

Unit cell a=3.7102 b=3.7102 c=9.2188 alpha=90.00 beta=90.00 gamma=90.00
Last column: nearest neighbours and their distance in Å.
Positions (direct):
Th 0.0000 0.0000 0.0000  5 Au 2.96-3.10, 5 Ni 2.97-3.23
Th 0.5000 0.5000 0.5000  5 Au 2.96-3.10, 5 Ni 2.97-3.23
Ni 0.0000 0.0000 0.6500  5 Th 2.97-3.23, 5 Au 3.03-3.06
Ni 0.5000 0.5000 0.1500  5 Th 2.97-3.23, 5 Au 3.03-3.06
Au 0.0000 0.0000 0.3208  5 Th 2.96-3.10, 5 Ni 3.03-3.06
Au 0.5000 0.5000 0.8208  5 Th 2.96-3.10, 5 Ni 3.03-3.06

Formation enthalpy at 0 K (meV per atom): -408
Uncorrected energy (eV per atom): -5.901

***

Question: The lowest uncorrected energy belongs to which entry?
Answer: number 1

***

Question: Among the records above, which one has the highest formation enthalpy at 0 K?
Answer: number 2

***

Repeat the second record exactly.
A plane-wave DFT calculation with PBE-GGA was carried out for crystalline ThNiAu at its relaxed geometry.

Unit cell a=3.7102 b=3.7102 c=9.2188 alpha=90.00 beta=90.00 gamma=90.00
Last column: nearest neighbours and their distance in Å.
Positions (direct):
Th 0.0000 0.0000 0.0000  5 Au 2.96-3.10, 5 Ni 2.97-3.23
Th 0.5000 0.5000 0.5000  5 Au 2.96-3.10, 5 Ni 2.97-3.23
Ni 0.0000 0.0000 0.6500  5 Th 2.97-3.23, 5 Au 3.03-3.06
Ni 0.5000 0.5000 0.1500  5 Th 2.97-3.23, 5 Au 3.03-3.06
Au 0.0000 0.0000 0.3208  5 Th 2.96-3.10, 5 Ni 3.03-3.06
Au 0.5000 0.5000 0.8208  5 Th 2.96-3.10, 5 Ni 3.03-3.06

Formation enthalpy at 0 K (meV per atom): -408
Uncorrected energy (eV per atom): -5.901

***

Question: Among the records above, which one has the lowest uncorrected energy?
Answer: number 1